# 1
Here is a relaxed structure of La2SmRu2 from the Alexandria database. Energies are from PBE-GGA.

As for the formation energy: -0.194 eV/atom. Its space group is C2/m. Its density is 8.362 g/cm3.

```
10
Lattice="5.8654 -2.2639 0.0000 5.8654 2.2639 0.0000 -4.3670 0.0000 9.4261" Properties=species:S:1:pos:R:3 pbc="T T T"
La -0.5993 0.0000 1.8242
La -0.5136 0.0000 5.4409
La 7.8774 0.0000 3.9852
La 7.9631 0.0000 7.6019
Sm 2.8223 0.0000 1.2717
Sm 4.5415 0.0000 8.1544
Ru 0.5267 0.0000 8.4517
Ru 2.7014 0.0000 5.6313
Ru 4.6624 0.0000 3.7948
Ru 6.8371 0.0000 0.9743
```

# 2
Here is a relaxed structure of TbPm14Er from the Alexandria database. Energies are from PBE-GGA.

As for the formation energy: 0.015 eV/atom. Its space group is Amm2. Its density is 7.201 g/cm3.

```
16
Lattice="10.2652 0.0000 0.0000 0.0000 5.1465 5.1423 0.0000 -5.1465 5.1423" Properties=species:S:1:pos:R:3 pbc="T T T"
Tb 0.0000 0.0000 0.0000
Pm 0.0000 -2.5700 7.7103
Pm 0.0000 2.5700 7.7103
Pm 2.5468 0.0000 2.5710
Pm 2.5481 -2.5692 5.1386
Pm 2.5481 2.5692 5.1386
Pm 2.5461 0.0000 7.7061
Pm 5.1326 2.5770 7.7094
Pm 5.1326 -2.5770 7.7094
Pm 5.1326 0.0000 5.1420
Pm 5.1326 0.0000 10.2767
Pm 7.7184 0.0000 2.5710
Pm 7.7172 -2.5692 5.1386
Pm 7.7172 2.5692 5.1386
Pm 7.7192 0.0000 7.7061
Er 0.0000 0.0000 5.1371
```

# 3
Here is a relaxed structure of TaZnNO2 from the Alexandria database. Energies are from PBE-GGA.

Its electronic total energy is -30.80 eV per formula unit. Its space group is P4/mmm. Its density is 9.133 g/cm3.

```
5
Lattice="3.7063 0.0000 0.0000 0.0000 3.7063 0.0000 0.0000 0.0000 3.8696" Properties=species:S:1:pos:R:3 pbc="T T T"
Ta 0.0000 0.0000 0.0000
Zn 1.8531 1.8531 1.9348
N 1.8531 1.8531 0.0000
O 0.0000 1.8531 1.9348
O 1.8531 0.0000 1.9348
```

# 4
Here is a relaxed structure of Tb3Hf3TaN8 from the Alexandria database. Energies are from PBE-GGA.

Its electronic total energy is -146.48 eV per formula unit. Its space group is R-3m. Its density is 10.679 g/cm3.

```
15
Lattice="3.2479 1.8752 5.5542 -3.2479 1.8752 5.5542 0.0000 -3.7503 5.5542" Properties=species:S:1:pos:R:3 pbc="T T T"
Tb -1.6239 -0.9376 5.5542
Tb -1.6239 0.9376 11.1084
Tb 0.0000 1.8752 5.5542
Hf -3.2479 0.0000 8.3313
Hf -1.6239 0.9376 2.7771
Hf 1.6239 0.9376 2.7771
Ta 0.0000 0.0000 8.3313
N 0.0000 0.0000 4.0204
N -1.5523 -0.8962 9.5043
N 0.0000 -1.7925 7.1583
N -1.5523 0.8962 7.1583
N 1.5523 -0.8962 9.5043
N 0.0000 1.7925 9.5043
N 1.5523 0.8962 7.1583
N 0.0000 0.0000 12.6422
```